(1)
DFT (meta-GGA SCAN) results for a crystal of ScBe2Co2 relaxed with PBEsol.

Cell lengths 2.6808, 6.3151, 6.3151 Å; angles 90.00, 90.00, 90.00 degrees
Closest atoms and distances in Å follow each position.
Sites, in units of the cell vectors:
1 Co 0.5000 0.8309 0.3309  6 Be 2.28-2.33
2 Co 0.5000 0.1691 0.6691  6 Be 2.28-2.33
3 Co 0.5000 0.6691 0.8309  6 Be 2.28-2.33
4 Co 0.5000 0.3309 0.1691  6 Be 2.28-2.33
5 Be 0.0000 0.8821 0.6179  1 Be 2.11, 6 Co 2.28-2.33
6 Be 0.0000 0.3821 0.8821  1 Be 2.11, 6 Co 2.28-2.33
7 Be 0.0000 0.6179 0.1179  1 Be 2.11, 6 Co 2.28-2.33
8 Be 0.0000 0.1179 0.3821  1 Be 2.11, 6 Co 2.28-2.33
9 Sc 0.0000 0.5000 0.5000  4 Be 2.53, 2 Sc 2.68, 8 Co 2.70
10 Sc 0.0000 0.0000 0.0000  4 Be 2.53, 2 Sc 2.68, 8 Co 2.70

Summary:
The density of states at the Fermi level comes out at 4.02 states/eV per cell. The value obtained for the calculated total energy is -116.91 eV per cell. The calculated density is 5.6 g/cm3.

(2)
DFT (meta-GGA SCAN) results for a crystal of RbCoCl3 relaxed with PBEsol.

Cell lengths 6.8814, 6.8814, 11.1809 Å; angles 90.00, 90.00, 120.00 degrees
Closest atoms and distances in Å follow each position.
Sites, in units of the cell vectors:
1 Co 0.6667 0.3333 0.6268  6 Cl 2.35-2.44
2 Co 0.6667 0.3333 0.8732  6 Cl 2.35-2.44
3 Co 0.3333 0.6667 0.1268  6 Cl 2.35-2.44
4 Co 0.3333 0.6667 0.3732  6 Cl 2.35-2.44
5 Cl 0.0000 0.5000 0.5000  2 Co 2.44
6 Cl 0.5000 0.5000 0.5000  2 Co 2.44
7 Cl 0.8265 0.6530 0.7500  2 Co 2.35
8 Cl 0.5000 0.0000 0.5000  2 Co 2.44
9 Cl 0.3470 0.1735 0.7500  2 Co 2.35
10 Cl 0.0000 0.5000 0.0000  2 Co 2.44
11 Cl 0.1735 0.8265 0.2500  2 Co 2.35
12 Cl 0.6530 0.8265 0.2500  2 Co 2.35
13 Cl 0.8265 0.1735 0.7500  2 Co 2.35
14 Cl 0.1735 0.3470 0.2500  2 Co 2.35
15 Cl 0.5000 0.0000 0.0000  2 Co 2.44
16 Cl 0.5000 0.5000 0.0000  2 Co 2.44
17 Rb 0.6667 0.3333 0.2500  12 Cl 3.43-3.44
18 Rb 0.0000 0.0000 0.0000  12 Cl 3.44-3.48
19 Rb 0.0000 0.0000 0.5000  12 Cl 3.44-3.48
20 Rb 0.3333 0.6667 0.7500  12 Cl 3.43-3.44

Summary:
The formation energy (no corrections) is -1442 meV per atom. The value obtained for the calculated total energy is -276.75 eV per cell. The calculated density is 3.6 g/cm3.

(3)
DFT (meta-GGA SCAN) results for a crystal of AgSnAs2Se relaxed with PBEsol.

Cell lengths 5.1760, 5.1760, 5.2071 Å; angles 90.00, 90.00, 90.00 degrees
Closest atoms and distances in Å follow each position.
Sites, in units of the cell vectors:
1 Se 0.0000 0.0000 0.5000  2 Sn 2.60
2 As 0.0000 0.5000 0.0000  2 Sn 2.59
3 As 0.5000 0.0000 0.0000  2 Sn 2.59
4 Ag 0.5000 0.5000 0.5000  4 Se 3.66, 8 As 3.67
5 Sn 0.0000 0.0000 0.0000  4 As 2.59, 2 Se 2.60

Summary:
The formation energy (no corrections) is 949 meV per atom. The density of states at the Fermi level comes out at 3.55 states/eV per cell. The value obtained for the calculated total energy is -123.00 eV per cell. The calculated density is 5.4 g/cm3.